The following is a DFT calculation (GGA-PBE) of a relaxed structure of InSn5Sb4.

Properties
formation energy (no corrections) = 107 meV/atom

a b c (Å): 5.9791 8.3826 13.2284
angles (deg): 90.00 90.00 90.00
Last column: nearest neighbours and their distance in Å.
Sites, in units of the cell vectors:
In 0.8771 0.0000 0.0000  4 Sb 2.83-2.85
In 0.1229 0.5000 0.5000  4 Sb 2.83-2.85
Sn 0.3234 0.6901 0.8209  2 Sb 2.94-3.00, 2 Sn 3.00-3.19
Sn 0.3234 0.3099 0.8209  2 Sb 2.94-3.00, 2 Sn 3.00-3.19
Sn 0.9986 0.5000 0.0000  2 Sb 2.95
Sn 0.3234 0.6901 0.1791  2 Sb 2.94-3.00, 2 Sn 3.00-3.19
Sn 0.3234 0.3099 0.1791  2 Sb 2.94-3.00, 2 Sn 3.00-3.19
Sn 0.6766 0.8099 0.3209  2 Sb 2.94-3.00, 2 Sn 3.00-3.19
Sn 0.6766 0.1901 0.3209  2 Sb 2.94-3.00, 2 Sn 3.00-3.19
Sn 0.0014 0.0000 0.5000  2 Sb 2.95
Sn 0.6766 0.1901 0.6791  2 Sb 2.94-3.00, 2 Sn 3.00-3.19
Sn 0.6766 0.8099 0.6791  2 Sb 2.94-3.00, 2 Sn 3.00-3.19
Sb 0.0748 0.0000 0.8038  1 In 2.85, 2 Sn 3.00
Sb 0.6130 0.7197 0.0000  1 In 2.83, 3 Sn 2.94-2.95
Sb 0.6130 0.2803 0.0000  1 In 2.83, 3 Sn 2.94-2.95
Sb 0.0748 0.0000 0.1962  1 In 2.85, 2 Sn 3.00
Sb 0.9252 0.5000 0.3038  1 In 2.85, 2 Sn 3.00
Sb 0.3870 0.7803 0.5000  1 In 2.83, 3 Sn 2.94-2.95
Sb 0.3870 0.2197 0.5000  1 In 2.83, 3 Sn 2.94-2.95
Sb 0.9252 0.5000 0.6962  1 In 2.85, 2 Sn 3.00

---

The following is a DFT calculation (GGA-PBE) of a relaxed structure of Hf2Ti2V.

Properties
ΔH_f (0 K) = 0.230 eV/atom

a b c (Å): 6.2849 6.2849 4.7744
angles (deg): 90.00 90.00 90.00
Last column: nearest neighbours and their distance in Å.
Sites, in units of the cell vectors:
V 0.0000 0.0000 0.0000  4 Ti 2.40
V 0.5000 0.5000 0.0000  4 Ti 2.40
Hf 0.1677 0.6677 0.5000  6 Ti 2.89-3.11, 1 Hf 2.98
Hf 0.6677 0.8323 0.5000  6 Ti 2.89-3.11, 1 Hf 2.98
Hf 0.8323 0.3323 0.5000  6 Ti 2.89-3.11, 1 Hf 2.98
Hf 0.3323 0.1677 0.5000  6 Ti 2.89-3.11, 1 Hf 2.98
Ti 0.3515 0.8515 0.0000  2 V 2.40, 1 Ti 2.64
Ti 0.8515 0.6485 0.0000  2 V 2.40, 1 Ti 2.64
Ti 0.6485 0.1485 0.0000  2 V 2.40, 1 Ti 2.64
Ti 0.1485 0.3515 0.0000  2 V 2.40, 1 Ti 2.64

---

The following is a DFT calculation (GGA-PBE) of a relaxed structure of Zr2ScN3.

Properties
ΔE to the lowest computed polymorph = 0.339 eV per atom
formation energy (no corrections) = -1458 meV/atom

a b c (Å): 3.2135 6.4575 7.8818
angles (deg): 108.08 90.00 104.41
Last column: nearest neighbours and their distance in Å.
Sites, in units of the cell vectors:
Zr 0.1659 0.3318 0.3337  6 N 2.32-2.34
Zr 0.8341 0.6682 0.6663  6 N 2.32-2.34
Zr 0.3344 0.6688 0.1670  6 N 2.31-2.34
Zr 0.6656 0.3312 0.8330  6 N 2.31-2.34
Sc 0.5000 0.0000 0.0000  6 N 2.32
Sc 0.0000 0.0000 0.5000  6 N 2.32
N 0.9717 0.9435 0.1942  3 Zr 2.31-2.32, 3 Sc 2.32
N 0.0283 0.0565 0.8058  3 Zr 2.31-2.32, 3 Sc 2.32
N 0.6935 0.3871 0.1390  1 Sc 2.32, 5 Zr 2.32-2.34
N 0.3065 0.6129 0.8610  1 Sc 2.32, 5 Zr 2.32-2.34
N 0.3618 0.7237 0.4716  4 Zr 2.31-2.34, 2 Sc 2.32
N 0.6382 0.2763 0.5284  4 Zr 2.31-2.34, 2 Sc 2.32

---

The following is a DFT calculation (GGA-PBE) of a relaxed structure of Zn2TeAu.

Properties
formation energy (no corrections) = -51 meV/atom

a b c (Å): 3.9058 3.9058 5.6260
angles (deg): 90.00 90.00 90.00
Last column: nearest neighbours and their distance in Å.
Sites, in units of the cell vectors:
Au 0.0000 0.0000 0.3804  6 Zn 2.70-2.92
Te 0.5000 0.5000 0.8591  6 Zn 2.77-2.82
Zn 0.0000 0.0000 0.9001  2 Au 2.70-2.92, 4 Te 2.77
Zn 0.5000 0.5000 0.3603  4 Au 2.76, 2 Te 2.81-2.82

---

The following is a DFT calculation (GGA-PBE) of a relaxed structure of SrMgSi2Pd5.

Properties
formation energy (no corrections) = -582 meV/atom

a b c (Å): 4.6779 4.6779 7.3686
angles (deg): 90.00 90.00 90.00
Last column: nearest neighbours and their distance in Å.
Sites, in units of the cell vectors:
Sr 0.0000 0.0000 0.5000  12 Pd 3.10-3.31
Mg 0.0000 0.0000 0.0000  8 Pd 2.86
Si 0.5000 0.5000 0.1577  1 Si 2.32, 5 Pd 2.39-2.52
Si 0.5000 0.5000 0.8423  1 Si 2.32, 5 Pd 2.39-2.52
Pd 0.0000 0.5000 0.2229  2 Si 2.39
Pd 0.5000 0.0000 0.2229  2 Si 2.39
Pd 0.0000 0.5000 0.7771  2 Si 2.39
Pd 0.5000 0.0000 0.7771  2 Si 2.39
Pd 0.5000 0.5000 0.5000  2 Si 2.52

---

The following is a DFT calculation (GGA-PBE) of a relaxed structure of CaAc3Pd7.

Properties
ΔH_f (0 K) = -0.718 eV/atom

a b c (Å): 4.3565 10.9796 11.3331
angles (deg): 90.00 90.00 101.44
Last column: nearest neighbours and their distance in Å.
Sites, in units of the cell vectors:
Ca 0.9728 0.9456 0.2500  8 Pd 2.97-3.02
Ca 0.0272 0.0544 0.7500  8 Pd 2.97-3.02
Ac 0.1261 0.2521 0.4416  9 Pd 3.07-3.32
Ac 0.8739 0.7479 0.5584  9 Pd 3.07-3.32
Ac 0.2207 0.4415 0.7500  5 Pd 3.15-3.21
Ac 0.7793 0.5585 0.2500  5 Pd 3.15-3.21
Ac 0.1261 0.2521 0.0584  9 Pd 3.07-3.32
Ac 0.8739 0.7479 0.9416  9 Pd 3.07-3.32
Pd 0.3669 0.7338 0.7500  2 Pd 2.76, 4 Ac 3.08
Pd 0.6331 0.2662 0.2500  2 Pd 2.76, 4 Ac 3.08
Pd 0.5292 0.0585 0.3925  3 Pd 2.74-2.80, 2 Ca 2.97, 2 Ac 3.07
Pd 0.4708 0.9415 0.6075  3 Pd 2.74-2.80, 2 Ca 2.97, 2 Ac 3.07
Pd 0.4708 0.9415 0.8925  3 Pd 2.74-2.80, 2 Ca 2.97, 2 Ac 3.07
Pd 0.5292 0.0585 0.1075  3 Pd 2.74-2.80, 2 Ca 2.97, 2 Ac 3.07
Pd 0.3996 0.7993 0.3715  4 Pd 2.75-3.08, 2 Ca 3.02
Pd 0.6004 0.2007 0.6285  4 Pd 2.75-3.08, 2 Ca 3.02
Pd 0.2801 0.5601 0.4578  3 Pd 2.71-2.75
Pd 0.7199 0.4399 0.5422  3 Pd 2.71-2.75
Pd 0.7199 0.4399 0.9578  3 Pd 2.71-2.75
Pd 0.2801 0.5601 0.0422  3 Pd 2.71-2.75
Pd 0.3996 0.7993 0.1285  4 Pd 2.75-3.08, 2 Ca 3.02
Pd 0.6004 0.2007 0.8715  4 Pd 2.75-3.08, 2 Ca 3.02